{
  "formula": "YPuSb2",
  "functional": "PBE-GGA",
  "state": "optimized geometry",
  "m_tot_mub_per_cell": 5.04,
  "e_tot_ev_per_atom": -8.14,
  "polymorph_energy_ev_per_atom": 0.0000,
  "raw_formation_energy_ev_per_atom": -0.881,
  "spacegroup": "No. 166",
  "lattice": [[-1.208, -3.552, 2.328], [-2.086, -3.342, -1.995], [5.214, -5.384, -1.322]],
  "species": ["Pu", "Sb", "Sb", "Y"],
  "frac_coords": [[0.000, 0.000, 0.000], [0.250, 0.250, 0.250], [0.750, 0.750, 0.750], [0.500, 0.500, 0.500]]
}



{
  "formula": "YPuSb2",
  "functional": "PBE-GGA",
  "state": "optimized geometry",
  "m_tot_mub_per_cell": 5.05,
  "e_tot_ev_per_atom": -8.03,
  "polymorph_energy_ev_per_atom": 0.1076,
  "raw_formation_energy_ev_per_atom": -0.773,
  "spacegroup": "No. 160",
  "lattice": [[-1.191, 4.203, 0.554], [-0.992, 1.496, 4.021], [6.326, 3.759, 2.574]],
  "species": ["Y", "Pu", "Sb", "Sb"],
  "frac_coords": [[0.498, 0.498, 0.507], [0.669, 0.669, 0.993], [0.251, 0.251, 0.246], [0.082, 0.082, 0.754]]
}